A geometry-optimized KAc2Te4Pb structure. Source: the Alexandria database, functional GGA-PBE.

Values from the calculation:
For the calculated volume, the calculation gives 38.45 A^3/atom. As for the energy: -4.359 eV per atom. The density of states at the Fermi level is 0.639 states/eV per atom.

a b c (Å): 6.746 6.746 8.274
angles (deg): 114.06 114.06 90.00
Sites, in units of the cell vectors:
K1 0.500 0.500 0.000
Ac1 0.250 0.750 0.500
Ac2 0.000 0.000 0.000
Te1 0.000 0.500 0.000
Te2 0.500 0.000 0.000
Te3 0.754 0.754 0.509
Te4 0.246 0.246 0.491
Pb1 0.750 0.250 0.500